# Ba2PtAu2 (PBE, optimized geometry)
# Energy above the lowest structure with this stoichiometry (meV per atom): 176
data_Ba2PtAu2
_chemical_formula_sum 'Ba4 Pt2 Au4'
_cell_length_a 8.0704
_cell_length_b 8.0704
_cell_length_c 4.5116
_cell_angle_alpha 90.00
_cell_angle_beta 90.00
_cell_angle_gamma 90.00
_space_group_name_H-M_alt 'P 4/m b m'
_space_group_IT_number 127
_space_group_name_Hall '-P 4 2ab'
loop_
_atom_site_label
_atom_site_fract_x
_atom_site_fract_y
_atom_site_fract_z
Ba1 0.1813 0.3187 0.0000
Pt1 0.0000 0.0000 0.5000
Au1 0.1258 0.6258 0.5000